Below is NaTbCdTe3 after structural relaxation, with properties calculated at the PBE-GGA level.

Values from the calculation:
- spin magnetization (μB per formula unit) = 0.00
- calculated density (g cm⁻³) = 5.7
- space group = No. 12

Cell: 10.183 10.183 9.253 Å, 103.40 103.40 24.82°
Fractional positions:
Na: 0.125 0.125 0.078
Na: 0.875 0.875 0.922
Tb: 0.177 0.177 0.591
Tb: 0.823 0.823 0.409
Cd: 0.465 0.465 0.276
Cd: 0.535 0.535 0.724
Te: 0.000 0.000 0.500
Te: 0.320 0.320 0.171
Te: 0.334 0.334 0.646
Te: 0.500 0.500 0.000
Te: 0.666 0.666 0.354
Te: 0.680 0.680 0.829

=====

Below is NaTbCdTe3 after structural relaxation, with properties calculated at the PBE-GGA level.

Values from the calculation:
- spin magnetization (μB per formula unit) = 0.00
- calculated density (g cm⁻³) = 5.9
- space group = No. 63

Cell: 7.764 7.764 11.706 Å, 90.00 90.00 147.17°
Fractional positions:
Na: 0.232 0.768 0.750
Na: 0.768 0.232 0.250
Tb: 0.000 0.000 0.000
Tb: 0.000 0.000 0.500
Cd: 0.470 0.530 0.250
Cd: 0.530 0.470 0.750
Te: 0.092 0.908 0.250
Te: 0.358 0.642 0.057
Te: 0.358 0.642 0.443
Te: 0.642 0.358 0.557
Te: 0.642 0.358 0.943
Te: 0.908 0.092 0.750

=====

Below is NaTbCdTe3 after structural relaxation, with properties calculated at the PBE-GGA level.

Values from the calculation:
- spin magnetization (μB per formula unit) = 0.00
- calculated density (g cm⁻³) = 6.1
- space group = No. 62

Cell: 8.683 4.513 18.835 Å, 90.00 90.00 90.00°
Fractional positions:
Na: 0.066 0.250 0.196
Na: 0.434 0.750 0.696
Na: 0.566 0.250 0.304
Na: 0.934 0.750 0.804
Tb: 0.227 0.250 0.961
Tb: 0.273 0.750 0.461
Tb: 0.727 0.250 0.539
Tb: 0.773 0.750 0.039
Cd: 0.059 0.250 0.665
Cd: 0.441 0.750 0.165
Cd: 0.559 0.250 0.835
Cd: 0.941 0.750 0.335
Te: 0.008 0.250 0.425
Te: 0.128 0.750 0.065
Te: 0.224 0.250 0.792
Te: 0.276 0.750 0.292
Te: 0.372 0.250 0.565
Te: 0.492 0.750 0.925
Te: 0.508 0.250 0.075
Te: 0.628 0.750 0.435
Te: 0.724 0.250 0.708
Te: 0.776 0.750 0.208
Te: 0.872 0.250 0.935
Te: 0.992 0.750 0.575

=====

Below is NaTbCdTe3 after structural relaxation, with properties calculated at the PBE-GGA level.

Values from the calculation:
- spin magnetization (μB per formula unit) = 0.00
- calculated density (g cm⁻³) = 5.9
- space group = No. 62

Cell: 11.809 4.428 14.584 Å, 90.00 90.00 90.00°
Fractional positions:
Na: 0.223 0.250 0.015
Na: 0.277 0.750 0.515
Na: 0.723 0.250 0.485
Na: 0.777 0.750 0.985
Tb: 0.013 0.750 0.744
Tb: 0.487 0.250 0.244
Tb: 0.513 0.750 0.756
Tb: 0.987 0.250 0.256
Cd: 0.240 0.750 0.221
Cd: 0.260 0.250 0.721
Cd: 0.740 0.750 0.279
Cd: 0.760 0.250 0.779
Te: 0.043 0.750 0.112
Te: 0.072 0.250 0.603
Te: 0.238 0.250 0.344
Te: 0.262 0.750 0.844
Te: 0.428 0.750 0.103
Te: 0.457 0.250 0.612
Te: 0.543 0.750 0.388
Te: 0.572 0.250 0.897
Te: 0.738 0.250 0.156
Te: 0.762 0.750 0.656
Te: 0.928 0.750 0.397
Te: 0.957 0.250 0.888

=====

Listing polymorph energy (0 for the lowest one) for the structures above in their given order: 0.065 0.002 0.067 0.004 eV per atom.